Record 1
# Er2TiCl

Crystalline Er2TiCl at its relaxed geometry (GGA-PBE, Alexandria).

```
data_Er2TiCl
_cell_length_a 3.2844
_cell_length_b 3.2844
_cell_length_c 31.0560
_cell_angle_alpha 90.00
_cell_angle_beta 90.00
_cell_angle_gamma 120.00
_space_group_name_H-M_alt 'R -3 m'
_space_group_IT_number 166
_space_group_name_Hall '-R 3 2"'
loop_
_atom_site_label
_atom_site_type_symbol
_atom_site_fract_x
_atom_site_fract_y
_atom_site_fract_z
Er1 Er 0.0000 0.0000 0.0942
Ti1 Ti 0.0000 0.0000 0.0000
Cl1 Cl 0.0000 0.0000 0.5000
```

Computed properties:
- E_form (uncorrected) (eV per atom) = -0.172
- total DFT energy (no corrections) (hartree per atom) = -0.180
- magnetic moment (Bohr magnetons per cell) = 6.121
- crystal system = trigonal

Record 2
# ErTl3Cl6

Crystalline ErTl3Cl6 at its relaxed geometry (GGA-PBE, Alexandria).

```
data_ErTl3Cl6
_cell_length_a 7.473
_cell_length_b 8.192
_cell_length_c 12.932
_cell_angle_alpha 90.00
_cell_angle_beta 122.76
_cell_angle_gamma 90.00
_space_group_name_H-M_alt 'P 1 21/c 1'
_space_group_IT_number 14
loop_
_space_group_symop_operation_xyz
'x,y,z'
'-x,-y,-z'
'-x,y+1/2,-z+1/2'
'x,-y+1/2,z+1/2'
loop_
_atom_site_label
_atom_site_type_symbol
_atom_site_fract_x
_atom_site_fract_y
_atom_site_fract_z
Er1 Er 0.000 0.000 0.000
Tl1 Tl 0.289 0.069 0.764
Tl2 Tl 0.500 0.000 0.500
Cl1 Cl 0.101 0.060 0.225
Cl2 Cl 0.234 0.733 0.075
Cl3 Cl 0.335 0.166 0.043
```

Computed properties:
- E_form (uncorrected) (eV per atom) = -1.559
- total DFT energy (no corrections) (hartree per atom) = -0.141
- magnetic moment (Bohr magnetons per cell) = 0.000
- crystal system = monoclinic

Record 3
# Er2TlCl8

Crystalline Er2TlCl8 at its relaxed geometry (GGA-PBE, Alexandria).

```
data_Er2TlCl8
_cell_length_a 10.819
_cell_length_b 8.542
_cell_length_c 7.119
_cell_angle_alpha 90.00
_cell_angle_beta 101.08
_cell_angle_gamma 90.00
_space_group_name_H-M_alt 'C 1 2/m 1'
_space_group_IT_number 12
loop_
_space_group_symop_operation_xyz
'x,y,z'
'-x,-y,-z'
'-x,y,-z'
'x,-y,z'
'x+1/2,y+1/2,z'
'-x+1/2,-y+1/2,-z'
'-x+1/2,y+1/2,-z'
'x+1/2,-y+1/2,z'
loop_
_atom_site_label
_atom_site_type_symbol
_atom_site_fract_x
_atom_site_fract_y
_atom_site_fract_z
Er1 Er 0.183 0.000 0.453
Tl1 Tl 0.000 0.500 0.000
Cl1 Cl 0.057 0.000 0.735
Cl2 Cl 0.140 0.310 0.340
Cl3 Cl 0.215 0.500 0.851
```

Computed properties:
- E_form (uncorrected) (eV per atom) = -1.785
- total DFT energy (no corrections) (hartree per atom) = -0.153
- magnetic moment (Bohr magnetons per cell) = 0.000
- crystal system = monoclinic

Record 4
# ErTl2Cl6

Crystalline ErTl2Cl6 at its relaxed geometry (GGA-PBE, Alexandria).

```
data_ErTl2Cl6
_cell_length_a 3.853
_cell_length_b 15.381
_cell_length_c 7.891
_cell_angle_alpha 90.00
_cell_angle_beta 90.00
_cell_angle_gamma 90.00
_space_group_name_H-M_alt 'A m m 2'
_space_group_IT_number 38
loop_
_space_group_symop_operation_xyz
'x,y,z'
'-x,-y,z'
'-x,y,z'
'x,-y,z'
'x,y+1/2,z+1/2'
'-x,-y+1/2,z+1/2'
'-x,y+1/2,z+1/2'
'x,-y+1/2,z+1/2'
loop_
_atom_site_label
_atom_site_type_symbol
_atom_site_fract_x
_atom_site_fract_y
_atom_site_fract_z
Er1 Er 0.000 0.000 0.000
Tl1 Tl 0.500 0.168 0.530
Cl1 Cl 0.000 0.000 0.647
Cl2 Cl 0.000 0.214 0.250
Cl3 Cl 0.500 0.000 0.254
Cl4 Cl 0.500 0.115 0.919
```

Computed properties:
- E_form (uncorrected) (eV per atom) = -1.382
- total DFT energy (no corrections) (hartree per atom) = -0.134
- magnetic moment (Bohr magnetons per cell) = 0.000
- crystal system = orthorhombic

Record 5
# ErTl4Cl7

Crystalline ErTl4Cl7 at its relaxed geometry (GGA-PBE, Alexandria).

```
data_ErTl4Cl7
_cell_length_a 21.759
_cell_length_b 5.197
_cell_length_c 7.645
_cell_angle_alpha 90.00
_cell_angle_beta 108.02
_cell_angle_gamma 90.00
_space_group_name_H-M_alt 'C 1 2/m 1'
_space_group_IT_number 12
loop_
_space_group_symop_operation_xyz
'x,y,z'
'-x,-y,-z'
'-x,y,-z'
'x,-y,z'
'x+1/2,y+1/2,z'
'-x+1/2,-y+1/2,-z'
'-x+1/2,y+1/2,-z'
'x+1/2,-y+1/2,z'
loop_
_atom_site_label
_atom_site_type_symbol
_atom_site_fract_x
_atom_site_fract_y
_atom_site_fract_z
Er1 Er 0.000 0.000 0.000
Tl1 Tl 0.086 0.500 0.634
Tl2 Tl 0.194 0.500 0.247
Cl1 Cl 0.000 0.500 0.000
Cl2 Cl 0.072 0.000 0.344
Cl3 Cl 0.106 0.000 0.905
Cl4 Cl 0.222 0.500 0.664
```

Computed properties:
- E_form (uncorrected) (eV per atom) = -1.434
- total DFT energy (no corrections) (hartree per atom) = -0.135
- magnetic moment (Bohr magnetons per cell) = 0.000
- crystal system = monoclinic

Record 6
# Er2TlCl7

Crystalline Er2TlCl7 at its relaxed geometry (GGA-PBE, Alexandria).

```
data_Er2TlCl7
_cell_length_a 8.444
_cell_length_b 13.543
_cell_length_c 5.232
_cell_angle_alpha 90.00
_cell_angle_beta 90.00
_cell_angle_gamma 90.00
_space_group_name_H-M_alt 'C m m m'
_space_group_IT_number 65
_space_group_name_Hall '-C 2 2'
loop_
_atom_site_label
_atom_site_type_symbol
_atom_site_fract_x
_atom_site_fract_y
_atom_site_fract_z
Er1 Er 0.000 0.197 0.000
Tl1 Tl 0.000 0.500 0.500
Cl1 Cl 0.000 0.000 0.000
Cl2 Cl 0.000 0.205 0.500
Cl3 Cl 0.188 0.360 0.000
```

Computed properties:
- E_form (uncorrected) (eV per atom) = -2.003
- total DFT energy (no corrections) (hartree per atom) = -0.163
- magnetic moment (Bohr magnetons per cell) = 0.000
- crystal system = orthorhombic

Record 7
# Er2Tl3Cl9

Crystalline Er2Tl3Cl9 at its relaxed geometry (GGA-PBE, Alexandria).

```
data_Er2Tl3Cl9
_cell_length_a 12.9605
_cell_length_b 12.9605
_cell_length_c 18.2241
_cell_angle_alpha 90.00
_cell_angle_beta 90.00
_cell_angle_gamma 120.00
_space_group_name_H-M_alt 'R -3 c'
_space_group_IT_number 167
_space_group_name_Hall '-R 3 2"c'
loop_
_atom_site_label
_atom_site_type_symbol
_atom_site_fract_x
_atom_site_fract_y
_atom_site_fract_z
Er1 Er 0.0000 0.0000 0.1465
Tl1 Tl 0.0000 0.3045 0.2500
Cl1 Cl 0.0000 0.1522 0.7500
Cl2 Cl 0.0221 0.1878 0.4120
```

Computed properties:
- E_form (uncorrected) (eV per atom) = -1.738
- total DFT energy (no corrections) (hartree per atom) = -0.150
- magnetic moment (Bohr magnetons per cell) = 0.000
- crystal system = trigonal

Record 8
# ErTlCl

Crystalline ErTlCl at its relaxed geometry (GGA-PBE, Alexandria).

```
data_ErTlCl
_cell_length_a 4.290
_cell_length_b 4.290
_cell_length_c 8.435
_cell_angle_alpha 90.00
_cell_angle_beta 90.00
_cell_angle_gamma 90.00
_space_group_name_H-M_alt 'P 4/n m m'
_space_group_IT_number 129
loop_
_space_group_symop_operation_xyz
'x,y,z'
'-x,-y,-z'
'-y+1/2,x,z'
'y+1/2,-x,-z'
'-x+1/2,-y+1/2,z'
'x+1/2,y+1/2,-z'
'y,-x+1/2,z'
'-y,x+1/2,-z'
'x+1/2,-y,-z'
'-x+1/2,y,z'
'-y,-x,-z'
'y,x,z'
'-x,y+1/2,-z'
'x,-y+1/2,z'
'y+1/2,x+1/2,-z'
'-y+1/2,-x+1/2,z'
loop_
_atom_site_label
_atom_site_type_symbol
_atom_site_fract_x
_atom_site_fract_y
_atom_site_fract_z
Er1 Er 0.250 0.250 0.213
Tl1 Tl 0.250 0.250 0.588
Cl1 Cl 0.250 0.750 0.000
```

Computed properties:
- E_form (uncorrected) (eV per atom) = -0.887
- total DFT energy (no corrections) (hartree per atom) = -0.140
- magnetic moment (Bohr magnetons per cell) = 0.000
- crystal system = tetragonal

Record 9
# ErTlCl4

Crystalline ErTlCl4 at its relaxed geometry (GGA-PBE, Alexandria).

```
data_ErTlCl4
_cell_length_a 8.474
_cell_length_b 17.238
_cell_length_c 6.764
_cell_angle_alpha 90.00
_cell_angle_beta 114.04
_cell_angle_gamma 90.00
_space_group_name_H-M_alt 'C 1 2/c 1'
_space_group_IT_number 15
loop_
_space_group_symop_operation_xyz
'x,y,z'
'-x,-y,-z'
'-x,y,-z+1/2'
'x,-y,z+1/2'
'x+1/2,y+1/2,z'
'-x+1/2,-y+1/2,-z'
'-x+1/2,y+1/2,-z+1/2'
'x+1/2,-y+1/2,z+1/2'
loop_
_atom_site_label
_atom_site_type_symbol
_atom_site_fract_x
_atom_site_fract_y
_atom_site_fract_z
Er1 Er 0.000 0.067 0.250
Tl1 Tl 0.000 0.318 0.250
Cl1 Cl 0.185 0.047 0.669
Cl2 Cl 0.215 0.170 0.243
```

Computed properties:
- E_form (uncorrected) (eV per atom) = -1.885
- total DFT energy (no corrections) (hartree per atom) = -0.157
- magnetic moment (Bohr magnetons per cell) = 0.000
- crystal system = monoclinic

Record 10
# ErTlVCl6

Crystalline ErTlVCl6 at its relaxed geometry (GGA-PBE, Alexandria).

```
data_ErTlVCl6
_cell_length_a 6.6215
_cell_length_b 6.6215
_cell_length_c 14.4878
_cell_angle_alpha 90.00
_cell_angle_beta 90.00
_cell_angle_gamma 120.00
_space_group_name_H-M_alt 'P -3 1 c'
_space_group_IT_number 163
_space_group_name_Hall '-P 3 2c'
loop_
_atom_site_label
_atom_site_type_symbol
_atom_site_fract_x
_atom_site_fract_y
_atom_site_fract_z
Er1 Er 0.3333 0.6667 0.2500
Tl1 Tl 0.0000 0.0000 0.0000
V1 V 0.3333 0.6667 0.7500
Cl1 Cl 0.0154 0.3752 0.6489
```

Computed properties:
- E_form (uncorrected) (eV per atom) = -1.639
- total DFT energy (no corrections) (hartree per atom) = -0.171
- magnetic moment (Bohr magnetons per cell) = 6.000
- crystal system = trigonal

Record 11
# ErTlZn2Cl8

Crystalline ErTlZn2Cl8 at its relaxed geometry (GGA-PBE, Alexandria).

```
data_ErTlZn2Cl8
_cell_length_a 6.4267
_cell_length_b 6.4267
_cell_length_c 29.0477
_cell_angle_alpha 90.00
_cell_angle_beta 90.00
_cell_angle_gamma 120.00
_space_group_name_H-M_alt 'R -3'
_space_group_IT_number 148
_space_group_name_Hall '-R 3'
loop_
_atom_site_label
_atom_site_type_symbol
_atom_site_fract_x
_atom_site_fract_y
_atom_site_fract_z
Er1 Er 0.0000 0.0000 0.0000
Tl1 Tl 0.0000 0.0000 0.5000
Zn1 Zn 0.0000 0.0000 0.2517
Cl1 Cl 0.0000 0.0000 0.1756
Cl2 Cl 0.0007 0.6618 0.2799
```

Computed properties:
- E_form (uncorrected) (eV per atom) = -1.472
- total DFT energy (no corrections) (hartree per atom) = -0.128
- magnetic moment (Bohr magnetons per cell) = 0.000
- crystal system = trigonal

Record 12
# ErTmCl

Crystalline ErTmCl at its relaxed geometry (GGA-PBE, Alexandria).

```
data_ErTmCl
_cell_length_a 3.6151
_cell_length_b 3.6151
_cell_length_c 6.9050
_cell_angle_alpha 90.00
_cell_angle_beta 90.00
_cell_angle_gamma 120.00
_space_group_name_H-M_alt 'P 3 m 1'
_space_group_IT_number 156
loop_
_space_group_symop_operation_xyz
'x,y,z'
'-y,x-y,z'
'-x+y,-x,z'
'-y,-x,z'
'-x+y,y,z'
'x,x-y,z'
loop_
_atom_site_label
_atom_site_type_symbol
_atom_site_fract_x
_atom_site_fract_y
_atom_site_fract_z
Er1 Er 0.0000 0.0000 0.0000
Tm1 Tm 0.6667 0.3333 0.3760
Cl1 Cl 0.3333 0.6667 0.6872
```

Computed properties:
- E_form (uncorrected) (eV per atom) = -0.885
- total DFT energy (no corrections) (hartree per atom) = -0.166
- magnetic moment (Bohr magnetons per cell) = 0.050
- crystal system = trigonal